DFT (PBE with a Hubbard U) results for an optimized crystal structure of BeCoOF2.

Values from the calculation:
ΔE to the lowest computed polymorph: 1033 meV per atom
Magnetization: 3.1 μB/cell
Crystal system: tetragonal
DOS at the Fermi energy: 3.05 states/eV/f.u.

a b c (Å): 3.978 3.978 3.727
angles (deg): 90.00 90.00 90.00
Element x y z (fractional)
Be (0.000, 0.000, 0.000)
Co (0.500, 0.500, 0.500)
O (0.500, 0.500, 0.000)
F (0.000, 0.500, 0.500)
F (0.500, 0.000, 0.500)